A plane-wave DFT calculation with GGA-PBEsol was carried out for LaCdRh2 after structural relaxation.

- DOS at the Fermi energy (states/eV/f.u.) = 1.42

abc: 4.458 4.458 3.678
angles: 90.00 90.00 90.00
Space group P4/mmm (No. 123)
One atom of each set of equivalent atoms:
La (0.000, 0.000, 0.000) x1
Cd (0.500, 0.500, 0.000) x1
Rh (0.000, 0.500, 0.500) x2

A plane-wave DFT calculation with GGA-PBEsol was carried out for La3CdRh after structural relaxation.

- DOS at the Fermi energy (states/eV/f.u.) = 6.06

abc: 5.453 5.453 5.453
angles: 90.00 90.00 90.00
Space group Pm-3m (No. 221)
One atom of each set of equivalent atoms:
La (0.000, 0.000, 0.500) x3
Cd (0.500, 0.500, 0.500) x1
Rh (0.000, 0.000, 0.000) x1

A plane-wave DFT calculation with GGA-PBEsol was carried out for La2CdRu after structural relaxation.

- DOS at the Fermi energy (states/eV/f.u.) = 2.63

abc: 4.0155 4.0155 24.3963
angles: 90.00 90.00 120.00
Space group R-3m (No. 166, hexagonal axes)
One atom of each set of equivalent atoms:
La (0.0000, 0.0000, 0.2303) x6
Cd (0.0000, 0.0000, 0.0000) x3
Ru (0.0000, 0.0000, 0.5000) x3

A plane-wave DFT calculation with GGA-PBEsol was carried out for La4CdRu after structural relaxation.

- DOS at the Fermi energy (states/eV/f.u.) = 5.95

abc: 13.947 13.947 13.947
angles: 90.00 90.00 90.00
Space group F-43m (No. 216)
One atom of each set of equivalent atoms:
La (0.000, 0.000, 0.189) x24
La (0.058, 0.250, 0.750) x24
La (0.153, 0.153, 0.347) x16
Cd (0.078, 0.078, 0.578) x16
Ru (0.137, 0.137, 0.137) x16

A plane-wave DFT calculation with GGA-PBEsol was carried out for LaCdRu3 after structural relaxation.

- DOS at the Fermi energy (states/eV/f.u.) = 10.73

abc: 4.792 4.792 4.792
angles: 90.00 90.00 90.00
Space group Pm-3m (No. 221)
One atom of each set of equivalent atoms:
La (0.000, 0.000, 0.000) x1
Cd (0.500, 0.500, 0.500) x1
Ru (0.000, 0.500, 0.500) x3

A plane-wave DFT calculation with GGA-PBEsol was carried out for La2CdRu after structural relaxation.

- DOS at the Fermi energy (states/eV/f.u.) = 3.07

abc: 3.948 4.630 11.391
angles: 90.00 90.00 90.00
Space group Amm2 (No. 38)
One atom of each set of equivalent atoms:
La (0.000, 0.000, 0.000) x2
La (0.500, 0.000, 0.305) x2
Cd (0.500, 0.000, 0.606) x2
Ru (0.000, 0.000, 0.791) x2

A plane-wave DFT calculation with GGA-PBEsol was carried out for La2CdRu after structural relaxation.

- DOS at the Fermi energy (states/eV/f.u.) = 3.34

abc: 3.437 3.758 7.878
angles: 90.00 97.38 90.00
Space group P2/m (No. 10)
One atom of each set of equivalent atoms:
La (0.081, 0.000, 0.286) x2
Cd (0.500, 0.500, 0.000) x1
Ru (0.500, 0.500, 0.500) x1

A plane-wave DFT calculation with GGA-PBEsol was carried out for LaCd2Ru2 after structural relaxation.

- DOS at the Fermi energy (states/eV/f.u.) = 8.23

abc: 4.323 4.323 11.189
angles: 90.00 90.00 90.00
Space group I4/mmm (No. 139)
One atom of each set of equivalent atoms:
La (0.000, 0.000, 0.000) x2
Cd (0.000, 0.500, 0.250) x4
Ru (0.000, 0.000, 0.400) x4

A plane-wave DFT calculation with GGA-PBEsol was carried out for LaCd3Ru after structural relaxation.

- DOS at the Fermi energy (states/eV/f.u.) = 4.28

abc: 5.053 5.053 5.053
angles: 90.00 90.00 90.00
Space group Pm-3m (No. 221)
One atom of each set of equivalent atoms:
La (0.000, 0.000, 0.000) x1
Cd (0.000, 0.500, 0.500) x3
Ru (0.500, 0.500, 0.500) x1

A plane-wave DFT calculation with GGA-PBEsol was carried out for LaCd3Ru after structural relaxation.

- DOS at the Fermi energy (states/eV/f.u.) = 5.63

abc: 5.712 5.712 5.712
angles: 90.00 90.00 90.00
Space group Pm-3m (No. 221)
One atom of each set of equivalent atoms:
La (0.000, 0.000, 0.000) x1
Cd (0.000, 0.000, 0.500) x3
Ru (0.500, 0.500, 0.500) x1

A plane-wave DFT calculation with GGA-PBEsol was carried out for La2CdRu after structural relaxation.

- DOS at the Fermi energy (states/eV/f.u.) = 4.57

abc: 4.839 4.862 8.480
angles: 90.00 90.00 90.00
Space group Cmmm (No. 65)
One atom of each set of equivalent atoms:
La (0.000, 0.000, 0.207) x4
Cd (0.000, 0.500, 0.500) x2
Ru (0.000, 0.500, 0.000) x2

A plane-wave DFT calculation with GGA-PBEsol was carried out for La2CdRu after structural relaxation.

- DOS at the Fermi energy (states/eV/f.u.) = 4.64

abc: 4.980 4.980 7.070
angles: 90.00 90.00 90.00
Space group I-4m2 (No. 119)
One atom of each set of equivalent atoms:
La (0.000, 0.000, 0.000) x2
La (0.000, 0.500, 0.250) x2
Cd (0.000, 0.000, 0.500) x2
Ru (0.000, 0.500, 0.750) x2

Calculated magnetization in order - 0.00; 0.00; 0.00; 0.00; 0.00; 0.00; 0.00; 0.07; 0.00; 0.41; 0.00; 0.00 μB/atom
Calculated final energy in order - -6.1711; -5.3262; -5.6486; -5.7323; -5.8459; -5.7071; -5.7147; -5.4809; -3.5969; -1.8829; -5.7164; -5.5666 eV/atom
Calculated calculated volume in order - 73; 162; 341; 2713; 110; 208; 101; 209; 129; 186; 199; 175 Å³ per cell